Compound: CePm2TmN4
Source: Alexandria
Functional: PBE
Structure: optimized geometry

Computed properties:
Size of the total moment = 0.000 μB per formula unit
Uncorrected formation energy = -1547 meV per atom
V = 126.00 Å³ per cell

abc: 3.5496 6.1198 6.1443
angles: 109.26 90.00 90.00
Element x y z (fractional)
Ce 0.0000 0.0000 0.0000
Pm 0.5000 0.0000 0.5000
Pm 0.0000 0.5000 0.5000
Tm 0.5000 0.5000 0.0000
N 0.5000 0.2472 0.2361
N 0.5000 0.7528 0.7639
N 0.0000 0.2544 0.7652
N 0.0000 0.7456 0.2348



Compound: MnReAg
Source: Alexandria
Functional: PBE
Structure: optimized geometry

Computed properties:
Calculated formation energy = 0.390 eV/atom
Size of the total moment = 0.000 μB per formula unit
V = 44.10 Å³ per cell

abc: 2.7270 2.7270 6.8478
angles: 90.00 90.00 120.00
Element x y z (fractional)
Ag 0.0000 0.0000 0.0102
Mn 0.6667 0.3333 0.3536
Re 0.3333 0.6667 0.6362



Compound: PrCu9Hg2
Source: Alexandria
Functional: PBE
Structure: optimized geometry

Computed properties:
Calculated formation energy = -0.066 eV/atom
Size of the total moment = 0.000 μB per formula unit
V = 366.73 Å³ per cell

abc: 5.1145 8.4678 8.4678
angles: 90.00 90.00 90.00
Element x y z (fractional)
Pr 0.0000 0.5000 0.5000
Pr 0.0000 0.0000 0.0000
Cu 0.5000 0.5000 0.0000
Cu 0.5000 0.0000 0.5000
Cu 0.5000 0.7059 0.5633
Cu 0.5000 0.2941 0.4367
Cu 0.5000 0.2059 0.9367
Cu 0.5000 0.7941 0.0633
Cu 0.5000 0.4367 0.7059
Cu 0.5000 0.5633 0.2941
Cu 0.5000 0.0633 0.2059
Cu 0.5000 0.9367 0.7941
Cu 0.7501 0.8228 0.3228
Cu 0.7501 0.1772 0.6772
Cu 0.7501 0.3228 0.1772
Cu 0.7501 0.6772 0.8228
Cu 0.2499 0.1772 0.6772
Cu 0.2499 0.8228 0.3228
Cu 0.2499 0.6772 0.8228
Cu 0.2499 0.3228 0.1772
Hg 0.0000 0.6238 0.1238
Hg 0.0000 0.3762 0.8762
Hg 0.0000 0.1238 0.3762
Hg 0.0000 0.8762 0.6238



Compound: MgCdPb
Source: Alexandria
Functional: PBE
Structure: optimized geometry

Computed properties:
Calculated formation energy = 0.051 eV/atom
Size of the total moment = 0.000 μB per formula unit
V = 340.58 Å³ per cell

abc: 5.1980 8.0832 8.1377
angles: 89.51 94.00 86.95
Element x y z (fractional)
Mg 0.4538 0.4277 0.1813
Mg 0.9300 0.8382 0.3999
Mg 0.0700 0.1618 0.6001
Mg 0.5462 0.5723 0.8187
Cd 0.4513 0.8324 0.5703
Cd 0.0701 0.4018 0.8554
Cd 0.9299 0.5982 0.1446
Cd 0.5487 0.1676 0.4297
Pb 0.4142 0.8368 0.1569
Pb 0.5858 0.1632 0.8431
Pb 0.0017 0.1853 0.1977
Pb 0.9983 0.8147 0.8023



Compound: Cs2TaCl5O
Source: Alexandria
Functional: PBE
Structure: optimized geometry

Computed properties:
Size of the total moment = 0.000 μB per formula unit
Uncorrected formation energy = -1907 meV per atom
V = 291.44 Å³ per cell

abc: 7.5600 7.5600 7.5600
angles: 85.20 122.81 122.81
Element x y z (fractional)
Cs 0.5000 0.2466 0.7466
Cs 0.5000 0.7466 0.2466
Ta 0.0000 0.9778 0.9778
Cl 0.4714 0.2338 0.2338
Cl 0.5286 0.7624 0.7624
Cl 0.0000 0.7624 0.2338
Cl 0.0000 0.2338 0.7624
Cl 0.0000 0.2172 0.2172
O 0.0000 0.8195 0.8195



Compound: SnAuCl2
Source: Alexandria
Functional: PBE
Structure: optimized geometry

Computed properties:
Size of the total moment = 0.000 μB per formula unit
Uncorrected formation energy = -141 meV per atom
V = 92.42 Å³ per cell

abc: 5.0749 5.0749 5.0749
angles: 60.00 60.00 60.00
Element x y z (fractional)
Au 0.5000 0.5000 0.5000
Sn 0.0000 0.0000 0.0000
Cl 0.2500 0.2500 0.2500
Cl 0.7500 0.7500 0.7500



Compound: CrInCl2
Source: Alexandria
Functional: PBE
Structure: optimized geometry

Computed properties:
Size of the total moment = 4.519 μB per formula unit
Uncorrected formation energy = -446 meV per atom
V = 109.87 Å³ per cell

abc: 3.8195 4.8944 6.3555
angles: 67.62 90.00 90.00
Site moments in Bohr magnetons follow the coordinates.
Element x y z (fractional)
Cr 0.0000 0.2964 0.5398  3.83
Cl 0.0000 0.0924 0.9338  0.03
Cl 0.5000 0.4152 0.2929  0.00
In 0.5000 0.6960 0.7334  0.06



Compound: Th2MnAu
Source: Alexandria
Functional: PBE
Structure: optimized geometry

Computed properties:
Calculated formation energy = -0.116 eV/atom
Size of the total moment = 0.002 μB per formula unit
V = 100.29 Å³ per cell

abc: 3.9549 3.9549 7.7478
angles: 75.21 75.21 60.00
Element x y z (fractional)
Mn 0.0000 0.0000 0.0000
Au 0.5000 0.5000 0.5000
Th 0.2649 0.2649 0.2052
Th 0.7351 0.7351 0.7948



Compound: CaHf3O
Source: Alexandria
Functional: PBE
Structure: optimized geometry

Computed properties:
Size of the total moment = 0.000 μB per formula unit
Uncorrected formation energy = 2211 meV per atom
V = 126.82 Å³ per cell

abc: 5.0242 5.0242 5.0242
angles: 90.00 90.00 90.00
Element x y z (fractional)
Ca 0.0000 0.0000 0.0000
Hf 0.0000 0.5000 0.0000
Hf 0.0000 0.0000 0.5000
Hf 0.5000 0.0000 0.0000
O 0.5000 0.5000 0.5000



Compound: Ag8PbO6
Source: Alexandria
Functional: PBE
Structure: optimized geometry

Computed properties:
Size of the total moment = 0.000 μB per formula unit
Uncorrected formation energy = -126 meV per atom
V = 248.20 Å³ per cell

abc: 6.3797 6.3797 6.3797
angles: 99.27 99.27 99.27
Element x y z (fractional)
Ag 0.6492 0.6492 0.6492
Ag 0.3508 0.3508 0.3508
Ag 0.5940 0.0396 0.2621
Ag 0.0396 0.2621 0.5940
Ag 0.2621 0.5940 0.0396
Ag 0.4060 0.9604 0.7379
Ag 0.9604 0.7379 0.4060
Ag 0.7379 0.4060 0.9604
Pb 0.0000 0.0000 0.0000
O 0.7423 0.0934 0.7645
O 0.0934 0.7645 0.7423
O 0.7645 0.7423 0.0934
O 0.2577 0.9066 0.2355
O 0.9066 0.2355 0.2577
O 0.2355 0.2577 0.9066



Compound: LaSc4Rh
Source: Alexandria
Functional: PBE
Structure: optimized geometry

Computed properties:
Calculated formation energy = 0.315 eV/atom
Size of the total moment = 1.490 μB per formula unit
V = 144.26 Å³ per cell

abc: 5.8869 5.8869 5.8869
angles: 60.00 60.00 60.00
Site moments in Bohr magnetons follow the coordinates.
Element x y z (fractional)
La 0.7500 0.7500 0.7500  0.18
Sc 0.8778 0.3741 0.3741  0.17
Sc 0.3741 0.3741 0.8778  0.17
Sc 0.3741 0.8778 0.3741  0.17
Sc 0.3741 0.3741 0.3741  0.17
Rh 0.0000 0.0000 0.0000  0.03



Compound: BaNaMgHg3
Source: Alexandria
Functional: PBE
Structure: optimized geometry

Computed properties:
Calculated formation energy = -0.197 eV/atom
Size of the total moment = 0.000 μB per formula unit
V = 366.17 Å³ per cell

abc: 7.0441 7.4068 7.9355
angles: 117.82 90.00 90.00
Element x y z (fractional)
Ba 0.7500 0.3007 0.6015
Ba 0.2500 0.6993 0.3985
Na 0.2500 0.9418 0.8836
Na 0.7500 0.0582 0.1164
Mg 0.2500 0.3708 0.7417
Mg 0.7500 0.6292 0.2583
Hg 0.2500 0.1655 0.3309
Hg 0.0000 0.2952 0.0000
Hg 0.5000 0.7048 0.0000
Hg 0.5000 0.2952 0.0000
Hg 0.0000 0.7048 0.0000
Hg 0.7500 0.8345 0.6691